*1*
CoHPtRh2 | GGA-PBE | optimized geometry

a b c (Å): 3.886 3.886 3.898
angles (deg): 90.00 90.00 90.00
Space group P4/mmm (No. 123)
Unique sites:
Co1 0.000 0.000 0.000 x1
H1 0.500 0.500 0.500 x1
Pt1 0.500 0.500 0.000 x1
Rh1 0.000 0.500 0.500 x2

Values from the calculation:
The density is 13002 kg/m3.



*2*
CoHPtRh2 | GGA-PBE | optimized geometry

a b c (Å): 3.872 3.872 3.852
angles (deg): 90.00 90.00 90.00
Space group P4/mmm (No. 123)
Unique sites:
Co1 0.000 0.000 0.000 x1
H1 0.000 0.000 0.500 x1
Pt1 0.500 0.500 0.000 x1
Rh1 0.000 0.500 0.500 x2

Values from the calculation:
The density is 13249 kg/m3.



The structure shown above that is least stable: *1*.